[1]
# Ca2CdBr

A geometry-optimized Ca2CdBr structure (PBE-GGA, the Alexandria database).

Values from the calculation:
- theoretical density (g cm⁻³) = 3.2
- total magnetic moment (μB/cell) = 0.00
- ΔE_f (raw) (kJ/mol of formula units) = -251
- energy relative to the lowest polymorph listed for this composition (meV/atom) = 189.6

Unit cell a=3.817 b=3.817 c=9.585 alpha=90.00 beta=90.00 gamma=90.00
Space group P4mm (No. 99)
Symmetry-distinct sites (fractional):
Ca (0.000, 0.000, 0.000) (multiplicity 1)
Ca (0.500, 0.500, 0.304) (multiplicity 1)
Cd (0.000, 0.000, 0.500) (multiplicity 1)
Br (0.500, 0.500, 0.852) (multiplicity 1)

[2]
# CaCdBr

A geometry-optimized CaCdBr structure (PBE-GGA, the Alexandria database).

Values from the calculation:
- theoretical density (g cm⁻³) = 3.7
- total magnetic moment (μB/cell) = 0.00
- ΔE_f (raw) (kJ/mol of formula units) = -167
- energy relative to the lowest polymorph listed for this composition (meV/atom) = 314.3

Unit cell a=7.462 b=7.462 c=7.462 alpha=90.00 beta=90.00 gamma=90.00
Space group F-43m (No. 216)
Symmetry-distinct sites (fractional):
Ca (0.000, 0.000, 0.000) (multiplicity 4)
Cd (0.250, 0.250, 0.250) (multiplicity 4)
Br (0.250, 0.250, 0.750) (multiplicity 4)

[3]
# CaCdBr

A geometry-optimized CaCdBr structure (PBE-GGA, the Alexandria database).

Values from the calculation:
- theoretical density (g cm⁻³) = 3.9
- total magnetic moment (μB/cell) = 0.00
- ΔE_f (raw) (kJ/mol of formula units) = -258
- energy relative to the lowest polymorph listed for this composition (meV/atom) = 0.0

Unit cell a=5.461 b=5.473 c=13.126 alpha=90.00 beta=90.00 gamma=90.00
Space group Cmmm (No. 65)
Symmetry-distinct sites (fractional):
Ca (0.000, 0.000, 0.145) (multiplicity 4)
Cd (0.000, 0.000, 0.500) (multiplicity 2)
Cd (0.000, 0.500, 0.000) (multiplicity 2)
Br (0.000, 0.500, 0.255) (multiplicity 4)

[4]
# CaCdBr

A geometry-optimized CaCdBr structure (PBE-GGA, the Alexandria database).

Values from the calculation:
- theoretical density (g cm⁻³) = 3.8
- total magnetic moment (μB/cell) = 0.00
- ΔE_f (raw) (kJ/mol of formula units) = -238
- energy relative to the lowest polymorph listed for this composition (meV/atom) = 69.6

Unit cell a=4.0422 b=4.0422 c=7.1834 alpha=90.00 beta=90.00 gamma=120.00
Space group P3m1 (No. 156)
Symmetry-distinct sites (fractional):
Ca (0.0000, 0.0000, 0.0000) (multiplicity 1)
Cd (0.6667, 0.3333, 0.3092) (multiplicity 1)
Br (0.3333, 0.6667, 0.7583) (multiplicity 1)

[5]
# Ca3CdBr6Cl2

A geometry-optimized Ca3CdBr6Cl2 structure (PBE-GGA, the Alexandria database).

Values from the calculation:
- theoretical density (g cm⁻³) = 3.4
- total magnetic moment (μB/cell) = 0.00
- ΔE_f (raw) (kJ/mol of formula units) = -2087

Unit cell a=14.217 b=8.316 c=6.436 alpha=90.00 beta=94.14 gamma=90.00
Space group C2/m (No. 12)
Symmetry-distinct sites (fractional):
Ca (0.000, 0.000, 0.000) (multiplicity 2)
Ca (0.250, 0.250, 0.500) (multiplicity 4)
Cd (0.000, 0.500, 0.500) (multiplicity 2)
Br (0.088, 0.253, 0.754) (multiplicity 8)
Br (0.154, 0.500, 0.258) (multiplicity 4)
Cl (0.165, 0.000, 0.265) (multiplicity 4)

[6]
# CsCaCdBr5

A geometry-optimized CsCaCdBr5 structure (PBE-GGA, the Alexandria database).

Values from the calculation:
- theoretical density (g cm⁻³) = 3.5
- total magnetic moment (μB/cell) = 0.00
- ΔE_f (raw) (kJ/mol of formula units) = -1192

Unit cell a=9.949 b=13.245 c=10.697 alpha=90.00 beta=113.46 gamma=90.00
Space group C2/c (No. 15)
Symmetry-distinct sites (fractional):
Cs (0.000, 0.159, 0.250) (multiplicity 4)
Ca (0.000, 0.500, 0.000) (multiplicity 4)
Cd (0.000, 0.188, 0.750) (multiplicity 4)
Br (0.000, 0.430, 0.250) (multiplicity 4)
Br (0.107, 0.294, 0.602) (multiplicity 8)
Br (0.193, 0.068, 0.935) (multiplicity 8)

[7]
# Cs4CaCd3Br12

A geometry-optimized Cs4CaCd3Br12 structure (PBE-GGA, the Alexandria database).

Values from the calculation:
- theoretical density (g cm⁻³) = 4.3
- total magnetic moment (μB/cell) = 0.00
- ΔE_f (raw) (kJ/mol of formula units) = -2730

Unit cell a=11.301 b=11.301 c=11.301 alpha=90.00 beta=90.00 gamma=90.00
Space group Im-3m (No. 229)
Symmetry-distinct sites (fractional):
Cs (0.250, 0.250, 0.250) (multiplicity 8)
Ca (0.000, 0.000, 0.000) (multiplicity 2)
Cd (0.000, 0.000, 0.500) (multiplicity 6)
Br (0.000, 0.000, 0.254) (multiplicity 12)
Br (0.000, 0.250, 0.500) (multiplicity 12)

[8]
# Cs3CaCd2Br9

A geometry-optimized Cs3CaCd2Br9 structure (PBE-GGA, the Alexandria database).

Values from the calculation:
- theoretical density (g cm⁻³) = 4.2
- total magnetic moment (μB/cell) = 0.00
- ΔE_f (raw) (kJ/mol of formula units) = -2137

Unit cell a=8.0056 b=8.0056 c=9.8159 alpha=90.00 beta=90.00 gamma=120.00
Space group P-3m1 (No. 164)
Symmetry-distinct sites (fractional):
Cs (0.0000, 0.0000, 0.0000) (multiplicity 1)
Cs (0.3333, 0.6667, 0.6700) (multiplicity 2)
Ca (0.0000, 0.0000, 0.5000) (multiplicity 1)
Cd (0.3333, 0.6667, 0.1643) (multiplicity 2)
Br (0.0000, 0.5000, 0.0000) (multiplicity 3)
Br (0.1692, 0.3384, 0.3297) (multiplicity 6)

[9]
# CaCd2CuBr

A geometry-optimized CaCd2CuBr structure (PBE-GGA, the Alexandria database).

Values from the calculation:
- theoretical density (g cm⁻³) = 3.9
- total magnetic moment (μB/cell) = 0.00
- ΔE_f (raw) (kJ/mol of formula units) = 138
- energy relative to the lowest polymorph listed for this composition (meV/atom) = 0.0

Unit cell a=6.210 b=6.210 c=4.482 alpha=90.00 beta=90.00 gamma=90.00
Space group P4/mmm (No. 123)
Symmetry-distinct sites (fractional):
Ca (0.000, 0.000, 0.000) (multiplicity 1)
Cd (0.000, 0.500, 0.500) (multiplicity 2)
Cu (0.500, 0.500, 0.000) (multiplicity 1)
Br (0.500, 0.500, 0.500) (multiplicity 1)

[10]
# CaCd2CuBr

A geometry-optimized CaCd2CuBr structure (PBE-GGA, the Alexandria database).

Values from the calculation:
- theoretical density (g cm⁻³) = 3.3
- total magnetic moment (μB/cell) = 0.00
- ΔE_f (raw) (kJ/mol of formula units) = 194
- energy relative to the lowest polymorph listed for this composition (meV/atom) = 116.7

Unit cell a=6.254 b=6.254 c=5.272 alpha=90.00 beta=90.00 gamma=90.00
Space group P4/mmm (No. 123)
Symmetry-distinct sites (fractional):
Ca (0.000, 0.000, 0.000) (multiplicity 1)
Cd (0.000, 0.500, 0.000) (multiplicity 2)
Cu (0.000, 0.000, 0.500) (multiplicity 1)
Br (0.500, 0.500, 0.500) (multiplicity 1)

[11]
# CaCdIn2Br6

A geometry-optimized CaCdIn2Br6 structure (PBE-GGA, the Alexandria database).

Values from the calculation:
- theoretical density (g cm⁻³) = 3.8
- total magnetic moment (μB/cell) = 0.00
- ΔE_f (raw) (kJ/mol of formula units) = -1035

Unit cell a=7.645 b=7.645 c=6.358 alpha=90.00 beta=90.00 gamma=90.00
Space group P4mm (No. 99)
Symmetry-distinct sites (fractional):
Ca (0.000, 0.000, 0.000) (multiplicity 1)
Cd (0.500, 0.500, 0.981) (multiplicity 1)
In (0.000, 0.500, 0.426) (multiplicity 2)
Br (0.000, 0.000, 0.563) (multiplicity 1)
Br (0.256, 0.256, 0.123) (multiplicity 4)
Br (0.500, 0.500, 0.578) (multiplicity 1)

[12]
# CaCd2InBr

A geometry-optimized CaCd2InBr structure (PBE-GGA, the Alexandria database).

Values from the calculation:
- theoretical density (g cm⁻³) = 4.2
- total magnetic moment (μB/cell) = 0.00
- ΔE_f (raw) (kJ/mol of formula units) = -42

Unit cell a=5.489 b=5.489 c=5.961 alpha=90.00 beta=90.00 gamma=90.00
Space group P4/mmm (No. 123)
Symmetry-distinct sites (fractional):
Ca (0.000, 0.000, 0.000) (multiplicity 1)
Cd (0.000, 0.500, 0.500) (multiplicity 2)
In (0.500, 0.500, 0.500) (multiplicity 1)
Br (0.500, 0.500, 0.000) (multiplicity 1)

Please write out number 10 again, unchanged.
# CaCd2CuBr

A geometry-optimized CaCd2CuBr structure (PBE-GGA, the Alexandria database).

Values from the calculation:
- theoretical density (g cm⁻³) = 3.3
- total magnetic moment (μB/cell) = 0.00
- ΔE_f (raw) (kJ/mol of formula units) = 194
- energy relative to the lowest polymorph listed for this composition (meV/atom) = 116.7

Unit cell a=6.254 b=6.254 c=5.272 alpha=90.00 beta=90.00 gamma=90.00
Space group P4/mmm (No. 123)
Symmetry-distinct sites (fractional):
Ca (0.000, 0.000, 0.000) (multiplicity 1)
Cd (0.000, 0.500, 0.000) (multiplicity 2)
Cu (0.000, 0.000, 0.500) (multiplicity 1)
Br (0.500, 0.500, 0.500) (multiplicity 1)

What is the ΔE_f (raw) in the ninth record? 138 kJ/mol of formula units

What is the theoretical density in the fifth record? 3.4 g cm⁻³